7
Lattice="3.6820 0.0000 0.0000 0.0000 4.4505 0.0000 0.0000 -2.2253 9.6213" Properties=species:S:1:pos:R:3 comment="TbHg4Pd2 (PBE-GGA, optimized geometry)" delta_e_f_ev_per_atom=-0.27 sg="No. 65" pbc="T T T"
Tb 0.0000 0.0000 0.0000
Hg 1.8410 2.2253 6.6916
Hg 0.0000 2.2253 3.7548
Hg 1.8410 0.0000 2.9297
Hg 0.0000 0.0000 5.8664
Pd 1.8410 2.2253 1.3077
Pd 1.8410 0.0000 8.3136

***

20
Lattice="6.4177 0.0000 0.0000 0.0000 10.7976 -1.6041 0.0000 -3.9731 10.1674" Properties=species:S:1:pos:R:3 comment="Pm3Y6Ho (PBE-GGA, optimized geometry)" delta_e_f_ev_per_atom=0.14 sg="No. 36" pbc="T T T"
Pm 2.9497 7.2946 5.7079
Pm 6.1585 3.9361 8.3844
Pm 0.4416 1.7411 5.6135
Pm 3.6505 5.0834 2.9498
Pm 6.1585 -0.4701 2.8555
Pm 2.9497 2.8884 0.1789
Y 0.3230 5.2078 5.1900
Y 3.5319 3.8970 6.2346
Y 2.3703 1.9526 8.7695
Y 5.5792 8.1126 3.8603
Y 2.3414 10.2030 -1.1302
Y 4.2138 -0.0048 7.0048
Y 1.0049 6.8293 1.5585
Y 5.5502 -3.3785 9.6935
Y 2.3703 -1.2881 4.7030
Y 5.5792 4.8719 -0.2061
Y 0.3230 2.9275 2.3287
Y 3.5319 1.6167 3.3733
Ho 0.8763 -1.1004 7.8780
Ho 4.0852 7.9249 0.6853

***

5
Lattice="-2.9624 2.3201 3.1717 -0.5611 -4.1810 2.5343 3.8894 1.1639 2.7814" Properties=species:S:1:pos:R:3 comment="YBeIn3 (PBE-GGA, optimized geometry)" delta_e_f_ev_per_atom=0.12 sg="No. 221" pbc="T T T"
Y 0.1829 -0.3485 4.2436
Be 0.0000 0.0000 0.0000
In -0.2806 -2.0905 1.2671
In 1.9447 0.5820 1.3907
In -1.4812 1.1600 1.5858

***

10
Lattice="8.9671 0.0000 0.0000 0.0000 8.9671 0.0000 0.0000 0.0000 5.0565" Properties=species:S:1:pos:R:3 comment="Sr2CdI2 (PBE-GGA, optimized geometry)" raw_formation_energy_ev_per_atom=-0.82 sg="No. 127" pbc="T T T"
I 1.3449 5.8285 2.5283
I 5.8285 7.6222 2.5283
I 7.6222 3.1387 2.5283
I 3.1387 1.3449 2.5283
Sr 2.9812 7.4648 0.0000
Sr 7.4648 5.9859 0.0000
Sr 5.9859 1.5023 0.0000
Sr 1.5023 2.9812 0.0000
Cd 0.0000 0.0000 0.0000
Cd 4.4836 4.4836 0.0000

***

3
Lattice="-1.7211 -2.5970 -3.1398 -1.2230 -4.1371 0.9766 -4.2907 -1.0679 0.1196" Properties=species:S:1:pos:R:3 comment="ReAgBr (PBE-GGA, optimized geometry)" raw_formation_energy_ev_per_atom=1.49 sg="No. 216" pbc="T T T"
Re -1.8087 -1.9505 -0.5109
Br -3.6174 -3.9010 -1.0218
Ag 0.0000 0.0000 0.0000

***

14
Lattice="-2.3726 1.8930 -1.8556 3.9164 -2.2891 -3.9328 -6.4288 -9.1262 -1.0900" Properties=species:S:1:pos:R:3 comment="BaU2N4 (PBE-GGA, optimized geometry)" raw_formation_energy_ev_per_atom=-1.19 sg="No. 63" pbc="T T T"
Ba -5.4185 -6.1880 -2.7948
Ba 0.5335 -3.3343 -4.0837
U -2.0536 -4.3063 -1.7674
U -5.1799 -8.5497 -5.5092
U 0.2948 -0.9726 -1.3692
U -2.8314 -5.2159 -5.1110
N -0.3524 -0.5665 -3.5376
N -2.4128 -3.4914 -3.8870
N -4.5327 -8.9558 -3.3408
N -2.4722 -6.0309 -2.9914
N -3.6882 -7.0389 -5.8753
N -1.1969 -2.4833 -1.0031
N -1.1863 0.9465 -0.9278
N -4.4007 -3.6166 -1.4728

***

5
Lattice="-0.9108 2.7254 4.0815 -4.0870 -2.7195 0.9040 2.7173 -3.1769 2.7277" Properties=species:S:1:pos:R:3 comment="SrZr3Mo (PBE-GGA, optimized geometry)" delta_e_f_ev_per_atom=2.26 sg="No. 221" pbc="T T T"
Sr 0.0000 0.0000 0.0000
Mo -1.1402 -1.5855 3.8566
Zr -2.0435 -1.3598 0.4520
Zr 1.3586 -1.5884 1.3638
Zr -0.4554 1.3627 2.0408

***

8
Lattice="2.1451 -3.7154 0.0000 2.1451 3.7154 0.0000 0.0000 0.0000 9.8722" Properties=species:S:1:pos:R:3 comment="TcHg (PBE-GGA, optimized geometry)" delta_e_f_ev_per_atom=0.60 sg="No. 194" pbc="T T T"
Tc 0.0000 0.0000 7.4041
Tc 0.0000 0.0000 2.4680
Tc 2.1451 -1.2385 2.4680
Tc 2.1451 1.2385 7.4041
Hg 2.1451 -1.2385 9.0718
Hg 2.1451 1.2385 4.1357
Hg 2.1451 1.2385 0.8004
Hg 2.1451 -1.2385 5.7365

***

26
Lattice="-5.7195 2.2102 -7.1435 -5.9756 -7.6121 -3.7742 -10.9208 2.9558 3.4549" Properties=species:S:1:pos:R:3 comment="Cu3RuI9 (PBE-GGA, optimized geometry)" raw_formation_energy_ev_per_atom=-0.03 sg="No. 9" pbc="T T T"
Cu -15.4398 -0.6121 -5.5566
Cu -7.8038 2.0299 -6.4114
Cu -14.7832 -4.5653 -0.6937
Cu -7.5237 -1.7778 -2.0188
Cu -12.6616 1.5862 -2.4294
Cu -9.5888 -3.9297 -5.2943
Ru -3.2044 -3.6878 -2.0442
Ru -14.1739 -5.0416 -5.3528
I -6.4154 0.5125 -1.8199
I -14.0231 -2.1405 -0.9298
I -13.8712 1.4876 -0.1421
I -12.0426 -3.5475 -4.5608
I -8.7252 1.6359 0.9155
I -5.9086 -3.7809 -2.2693
I -9.2481 -3.8322 -7.8806
I -10.1599 0.8486 -2.3168
I -14.1067 -4.2729 -7.9230
I -17.2381 1.2656 -5.1314
I -15.8707 -3.0441 -4.7453
I -9.3584 0.0322 -7.0037
I -8.1296 -1.9431 -4.5692
I -18.3570 -3.5836 -6.9511
I -13.2254 0.2060 -4.5376
I -8.1864 -6.0697 -4.9467
I -5.4050 1.1567 -6.0939
I -9.6342 -2.8019 -0.9841

***

12
Lattice="4.7390 0.0000 0.0000 0.0000 6.8864 0.0000 0.0000 0.0000 8.1404" Properties=species:S:1:pos:R:3 comment="YCrSn (PBE-GGA, optimized geometry)" delta_e_f_ev_per_atom=-0.16 sg="No. 44" pbc="T T T"
Y 0.0000 3.4432 6.2041
Y 2.3695 0.0000 2.1339
Y 0.0000 0.0000 7.0613
Y 2.3695 3.4432 2.9911
Cr 0.0000 4.3657 1.0987
Cr 0.0000 2.5207 1.0987
Cr 2.3695 0.9225 5.1689
Cr 2.3695 5.9639 5.1689
Sn 0.0000 1.4932 3.7412
Sn 0.0000 5.3932 3.7412
Sn 2.3695 4.9364 7.8114
Sn 2.3695 1.9500 7.8114

***

5
Lattice="-1.9584 -3.8073 0.9924 2.7741 -0.5500 3.3642 -2.7902 2.1255 2.6482" Properties=species:S:1:pos:R:3 comment="KFe4 (PBE-GGA, optimized geometry)" delta_e_f_ev_per_atom=2.57 sg="No. 221" pbc="T T T"
K -0.9873 -1.1159 3.5024
Fe 0.0000 0.0000 0.0000
Fe -2.3743 -0.8409 1.8203
Fe -0.0081 0.7877 3.0062
Fe 0.4078 -2.1787 2.1783

***

4
Lattice="4.8678 0.0328 0.0000 2.1078 4.3879 0.0000 -3.4878 -2.2104 2.5780" Properties=species:S:1:pos:R:3 comment="BeRe2Tc (PBE-GGA, optimized geometry)" delta_e_f_ev_per_atom=0.17 sg="No. 139" pbc="T T T"
Re 0.0000 0.0000 0.0000
Re 3.4878 2.2104 0.0000
Tc 1.0539 2.1940 1.2890
Be 2.4339 0.0164 1.2890

***

4
Lattice="-2.2991 -4.4751 1.5444 0.6911 -4.4112 -2.7860 2.9179 -3.9184 1.9570" Properties=species:S:1:pos:R:3 comment="DyThGaHg (PBE-GGA, optimized geometry)" delta_e_f_ev_per_atom=-0.39 sg="No. 216" pbc="T T T"
Ga 0.9824 -9.6035 0.5366
Hg 0.3275 -3.2012 0.1789
Th 0.6549 -6.4023 0.3578
Dy 0.0000 0.0000 0.0000

***

12
Lattice="-5.0083 3.3848 -1.7129 -5.9599 1.9831 0.1441 1.6734 3.5739 3.5553" Properties=species:S:1:pos:R:3 comment="BC2 (PBE-GGA, optimized geometry)" delta_e_f_ev_per_atom=0.34 sg="No. 12" pbc="T T T"
B -9.7709 5.1594 -1.1127
B -2.2769 2.6677 0.8469
B 0.9021 2.2928 2.1930
B -6.5920 4.7844 0.2334
C -0.1892 0.3520 0.1688
C -3.3954 2.1099 -0.1474
C -8.6797 7.1001 0.9115
C -5.4735 5.3423 1.2277
C -2.4876 4.0435 1.7774
C -1.2507 4.3905 2.6732
C -5.9447 6.6356 1.9624
C -6.3813 3.4086 -0.6971

***

6
Lattice="4.4815 0.0000 0.0000 -2.2408 3.8811 0.0000 0.0000 0.0000 7.6010" Properties=species:S:1:pos:R:3 comment="Li2AcTmSi2 (PBE-GGA, optimized geometry)" raw_formation_energy_ev_per_atom=-0.52 sg="No. 164" pbc="T T T"
Li 0.0000 2.5874 5.1919
Li 2.2408 1.2937 2.4091
Ac 0.0000 0.0000 0.0000
Tm 0.0000 0.0000 3.8005
Si 0.0000 2.5874 2.1542
Si 2.2408 1.2937 5.4468

***

10
Lattice="4.7654 0.0000 0.0000 0.0000 5.3678 0.0000 0.0000 0.0000 5.3678" Properties=species:S:1:pos:R:3 comment="Pa2TiReN6 (PBE-GGA, optimized geometry)" raw_formation_energy_ev_per_atom=-0.98 sg="No. 99" pbc="T T T"
Pa 4.6907 2.6839 0.0000
Pa 4.6907 0.0000 2.6839
Ti 2.7594 2.6839 2.6839
Re 2.7374 0.0000 0.0000
N 3.4946 1.3352 1.3352
N 3.4946 1.3352 4.0325
N 0.9140 2.6839 2.6839
N 0.9510 0.0000 0.0000
N 3.4946 4.0325 4.0325
N 3.4946 4.0325 1.3352

***

12
Lattice="6.7468 0.0033 0.0037 -3.3689 5.8455 0.0037 -1.1307 -1.9578 7.7068" Properties=species:S:1:pos:R:3 comment="HfMn2Tl3Se6 (PBE-GGA, optimized geometry)" raw_formation_energy_ev_per_atom=-0.64 sg="No. 12" pbc="T T T"
Hf 0.0000 0.0000 0.0000
Mn -0.0059 3.9032 0.0037
Mn 3.3838 1.9456 0.0037
Tl -2.2759 3.9088 3.8571
Tl 4.5231 -0.0178 3.8571
Tl 1.1236 1.9455 3.8571
Se 3.3846 1.9296 6.2492
Se 2.2403 3.8791 1.4591
Se -1.1374 1.9614 1.4650
Se -0.0201 3.8959 6.2492
Se 0.0068 0.0118 6.2550
Se 2.2673 -0.0050 1.4650

***

10
Lattice="6.6287 -0.4500 -1.0521 -2.2464 6.2526 1.0521 -3.2814 -2.0779 7.9904" Properties=species:S:1:pos:R:3 comment="PmDy3Cd (PBE-GGA, optimized geometry)" delta_e_f_ev_per_atom=-0.04 sg="No. 12" pbc="T T T"
Pm 1.9448 -1.4688 5.2360
Pm -0.8440 5.1935 2.7544
Dy 2.3271 5.0706 1.2740
Dy 0.1418 2.1770 1.2740
Dy 0.9590 1.5477 6.7164
Dy 3.5956 1.8406 1.6632
Dy -1.2263 -1.3459 6.7164
Dy -2.4948 1.8841 6.3272
Cd 1.7065 3.2673 3.9823
Cd -0.6057 0.4574 4.0081

***

19
Lattice="8.5196 -0.4851 2.4353 1.7043 8.3615 2.4353 -0.6297 -0.4851 8.8385" Properties=species:S:1:pos:R:3 comment="Pr2Sm15Er2 (PBE-GGA, optimized geometry)" delta_e_f_ev_per_atom=0.28 sg="No. 166" pbc="T T T"
Pr 8.7220 6.7193 12.4626
Pr 0.8723 0.6720 1.2464
Sm 0.8522 4.1808 1.2176
Sm -0.3148 -0.2425 4.4192
Sm 4.2598 -0.2425 1.2176
Sm 2.1197 -0.4851 6.9143
Sm 6.4717 2.1733 2.4353
Sm 1.0030 5.7031 4.3594
Sm 3.7523 5.7031 2.4353
Sm 0.0717 2.1733 6.9143
Sm 5.7703 -0.4851 4.3594
Sm 4.4522 6.6808 6.3616
Sm 3.3757 2.6006 9.3149
Sm 7.5955 2.6006 6.3616
Sm 5.1421 0.7105 7.3474
Sm 6.2186 4.7907 4.3942
Sm 1.9988 4.7907 7.3474
Er 6.5749 5.0652 9.3947
Er 3.0194 2.3261 4.3143

***

5
Lattice="-4.1876 -1.5949 -0.0134 0.5425 -1.4563 3.7935 -1.4806 3.8732 1.6987" Properties=species:S:1:pos:R:3 comment="BiPtC2O (PBE-GGA, optimized geometry)" raw_formation_energy_ev_per_atom=2.44 sg="No. 123" pbc="T T T"
O 0.2712 -0.7282 1.8967
C -0.7403 1.9366 0.8493
C -2.0938 -0.7974 -0.0067
Bi 0.0000 0.0000 0.0000
Pt -2.5628 0.4110 2.7394

***

4
Lattice="4.9426 -0.0090 0.0000 1.2515 4.7815 0.0000 -3.0970 -2.3863 3.0238" Properties=species:S:1:pos:R:3 comment="As2WBr (PBE-GGA, optimized geometry)" raw_formation_energy_ev_per_atom=0.85 sg="No. 139" pbc="T T T"
As 0.0000 0.0000 0.0000
As 3.0970 2.3863 0.0000
Br 0.6257 2.3908 1.5119
W 2.4713 -0.0045 1.5119

***

10
Lattice="7.2464 0.0000 0.0000 0.0000 7.2464 0.0000 0.0000 0.0000 2.8759" Properties=species:S:1:pos:R:3 comment="ScMn2Mo2 (PBE-GGA, optimized geometry)" delta_e_f_ev_per_atom=0.21 sg="No. 127" pbc="T T T"
Sc 0.0000 0.0000 0.0000
Sc 3.6232 3.6232 0.0000
Mo 1.1223 4.7455 1.4380
Mo 4.7455 6.1241 1.4380
Mo 6.1241 2.5009 1.4380
Mo 2.5009 1.1223 1.4380
Mn 2.6274 6.2506 0.0000
Mn 6.2506 4.6190 0.0000
Mn 4.6190 0.9958 0.0000
Mn 0.9958 2.6274 0.0000